(1)
First-principles (PBE) data for a geometry-optimized TmTlF3 structure, as listed in OQMD via LeMat-Bulk.

spin magnetization: 0.0 μB per cell
energy above the lowest structure with this stoichiometry: 0.09 eV/f.u.
space group: No. 140

Cell and atoms, written as CIF:
```
data_TmTlF3
_chemical_formula_sum 'Tm2 Tl2 F6'
_space_group_name_H-M_alt 'P 1'
_space_group_IT_number 1
_cell_length_a 6.1307
_cell_length_b 6.1307
_cell_length_c 6.1307
_cell_angle_alpha 120.05
_cell_angle_beta 120.05
_cell_angle_gamma 89.92
loop_
_space_group_symop_operation_xyz
'x,y,z'
loop_
_atom_site_label
_atom_site_type_symbol
_atom_site_fract_x
_atom_site_fract_y
_atom_site_fract_z
Tm1 Tm 0.0000 0.0000 0.0000
Tm2 Tm 0.5000 0.5000 0.0000
Tl1 Tl 0.2500 0.7500 0.5000
Tl2 Tl 0.7500 0.2500 0.5000
F1 F 0.2490 0.7490 0.9980
F2 F 0.2500 0.2500 0.0000
F3 F 0.2510 0.2490 0.5000
F4 F 0.7490 0.7510 0.5000
F5 F 0.7500 0.7500 0.0000
F6 F 0.7510 0.2510 0.0020
```

---

(2)
First-principles (PBE) data for a geometry-optimized AcScNb structure, as listed in OQMD via LeMat-Bulk.

spin magnetization: 3.2 μB per cell
E_form: 19.94 kcal/mol of atoms
energy above the lowest structure with this stoichiometry: 0.00 eV/f.u.
space group: No. 216

Cell and atoms, written as CIF:
```
data_AcScNb
_chemical_formula_sum 'Ac1 Sc1 Nb1'
_space_group_name_H-M_alt 'P 1'
_space_group_IT_number 1
_cell_length_a 4.9957
_cell_length_b 4.9957
_cell_length_c 4.9957
_cell_angle_alpha 60.00
_cell_angle_beta 60.00
_cell_angle_gamma 60.00
loop_
_space_group_symop_operation_xyz
'x,y,z'
loop_
_atom_site_label
_atom_site_type_symbol
_atom_site_fract_x
_atom_site_fract_y
_atom_site_fract_z
Ac1 Ac 0.0000 0.0000 0.0000
Sc1 Sc 0.5000 0.5000 0.5000
Nb1 Nb 0.2500 0.2500 0.2500
```

---

(3)
First-principles (PBE) data for a geometry-optimized BaCd2InHg structure, as listed in OQMD via LeMat-Bulk.

final energy: -8.44 eV/cell
space group: No. 107

Cell and atoms, written as CIF:
```
data_BaCd2InHg
_chemical_formula_sum 'Ba1 Cd2 In1 Hg1'
_space_group_name_H-M_alt 'P 1'
_space_group_IT_number 1
_cell_length_a 7.1655
_cell_length_b 7.1655
_cell_length_c 7.1655
_cell_angle_alpha 140.74
_cell_angle_beta 140.74
_cell_angle_gamma 56.73
loop_
_space_group_symop_operation_xyz
'x,y,z'
loop_
_atom_site_label
_atom_site_type_symbol
_atom_site_fract_x
_atom_site_fract_y
_atom_site_fract_z
Ba1 Ba 0.0000 0.0000 0.0000
Cd1 Cd 0.2518 0.7518 0.5000
Cd2 Cd 0.7518 0.2518 0.5000
In1 In 0.6195 0.6195 0.0000
Hg1 Hg 0.3891 0.3891 0.0000
```

---

(4)
First-principles (PBE) data for a geometry-optimized Ga2Pd2O5 structure, as listed in OQMD via LeMat-Bulk.

energy above the lowest structure with this stoichiometry: 0.00 eV/f.u.
space group: No. 123

Cell and atoms, written as CIF:
```
data_Ga2Pd2O5
_chemical_formula_sum 'Ga2 Pd2 O5'
_space_group_name_H-M_alt 'P 1'
_space_group_IT_number 1
_cell_length_a 3.6356
_cell_length_b 3.6356
_cell_length_c 7.7188
_cell_angle_alpha 90.00
_cell_angle_beta 90.00
_cell_angle_gamma 90.00
loop_
_space_group_symop_operation_xyz
'x,y,z'
loop_
_atom_site_label
_atom_site_type_symbol
_atom_site_fract_x
_atom_site_fract_y
_atom_site_fract_z
Ga1 Ga 0.0000 0.0000 0.2429
Ga2 Ga 0.0000 0.0000 0.7571
Pd1 Pd 0.5000 0.5000 0.0000
Pd2 Pd 0.5000 0.5000 0.5000
O1 O 0.0000 0.0000 0.0000
O2 O 0.0000 0.5000 0.3307
O3 O 0.0000 0.5000 0.6693
O4 O 0.5000 0.0000 0.3307
O5 O 0.5000 0.0000 0.6693
```

---

(5)
First-principles (PBE) data for a geometry-optimized BaMg2AgPb structure, as listed in OQMD via LeMat-Bulk.

final energy: -13.12 eV/cell
space group: No. 107

Cell and atoms, written as CIF:
```
data_BaMg2AgPb
_chemical_formula_sum 'Ba1 Mg2 Ag1 Pb1'
_space_group_name_H-M_alt 'P 1'
_space_group_IT_number 1
_cell_length_a 7.1356
_cell_length_b 7.1356
_cell_length_c 7.1356
_cell_angle_alpha 140.69
_cell_angle_beta 140.69
_cell_angle_gamma 56.80
loop_
_space_group_symop_operation_xyz
'x,y,z'
loop_
_atom_site_label
_atom_site_type_symbol
_atom_site_fract_x
_atom_site_fract_y
_atom_site_fract_z
Ba1 Ba 0.0000 0.0000 0.0000
Mg1 Mg 0.2486 0.7486 0.5000
Mg2 Mg 0.7486 0.2486 0.5000
Ag1 Ag 0.6261 0.6261 0.0000
Pb1 Pb 0.3904 0.3904 0.0000
```

---

(6)
First-principles (PBE) data for a geometry-optimized Gd2ErAlC structure, as listed in OQMD via LeMat-Bulk.

spin magnetization: 0.0 μB per cell
final energy: -28.66 eV/cell
space group: No. 123

Cell and atoms, written as CIF:
```
data_Gd2ErAlC
_chemical_formula_sum 'Gd2 Er1 Al1 C1'
_space_group_name_H-M_alt 'P 1'
_space_group_IT_number 1
_cell_length_a 4.9406
_cell_length_b 4.9406
_cell_length_c 4.8284
_cell_angle_alpha 90.00
_cell_angle_beta 90.00
_cell_angle_gamma 90.00
loop_
_space_group_symop_operation_xyz
'x,y,z'
loop_
_atom_site_label
_atom_site_type_symbol
_atom_site_fract_x
_atom_site_fract_y
_atom_site_fract_z
Gd1 Gd 0.0000 0.5000 0.0000
Gd2 Gd 0.5000 0.0000 0.0000
Er1 Er 0.0000 0.0000 0.5000
Al1 Al 0.5000 0.5000 0.5000
C1 C 0.0000 0.0000 0.0000
```

---

(7)
First-principles (PBE) data for a geometry-optimized Tm structure, as listed in OQMD via LeMat-Bulk.

spin magnetization: 6.4 μB per cell
E_form: 6.10 kcal/mol of atoms
energy above the lowest structure with this stoichiometry: 0.26 eV/f.u.
space group: No. 223

Cell and atoms, written as CIF:
```
data_Tm
_chemical_formula_sum 'Tm8'
_space_group_name_H-M_alt 'P 1'
_space_group_IT_number 1
_cell_length_a 6.2952
_cell_length_b 6.2952
_cell_length_c 6.2952
_cell_angle_alpha 90.00
_cell_angle_beta 90.00
_cell_angle_gamma 90.00
loop_
_space_group_symop_operation_xyz
'x,y,z'
loop_
_atom_site_label
_atom_site_type_symbol
_atom_site_fract_x
_atom_site_fract_y
_atom_site_fract_z
Tm1 Tm 0.0000 0.0000 0.0000
Tm2 Tm 0.0000 0.2500 0.5000
Tm3 Tm 0.0000 0.7500 0.5000
Tm4 Tm 0.2500 0.5000 0.0000
Tm5 Tm 0.5000 0.0000 0.2500
Tm6 Tm 0.5000 0.0000 0.7500
Tm7 Tm 0.5000 0.5000 0.5000
Tm8 Tm 0.7500 0.5000 0.0000
```

---

(8)
First-principles (PBE) data for a geometry-optimized LuPIrO structure, as listed in OQMD via LeMat-Bulk.

spin magnetization: 0.0 μB per cell
energy above the lowest structure with this stoichiometry: 0.00 eV/f.u.
space group: No. 129

Cell and atoms, written as CIF:
```
data_LuPIrO
_chemical_formula_sum 'Lu2 P2 Ir2 O2'
_space_group_name_H-M_alt 'P 1'
_space_group_IT_number 1
_cell_length_a 3.9188
_cell_length_b 3.9188
_cell_length_c 7.8370
_cell_angle_alpha 90.00
_cell_angle_beta 90.00
_cell_angle_gamma 90.00
loop_
_space_group_symop_operation_xyz
'x,y,z'
loop_
_atom_site_label
_atom_site_type_symbol
_atom_site_fract_x
_atom_site_fract_y
_atom_site_fract_z
Lu1 Lu 0.2500 0.2500 0.1299
Lu2 Lu 0.7500 0.7500 0.8701
P1 P 0.2500 0.2500 0.6695
P2 P 0.7500 0.7500 0.3305
Ir1 Ir 0.2500 0.7500 0.5000
Ir2 Ir 0.7500 0.2500 0.5000
O1 O 0.2500 0.7500 0.0000
O2 O 0.7500 0.2500 0.0000
```

---

(9)
First-principles (PBE) data for a geometry-optimized KHo2CuNi structure, as listed in OQMD via LeMat-Bulk.

spin magnetization: 0.0 μB per cell
final energy: -20.01 eV/cell
space group: No. 38

Cell and atoms, written as CIF:
```
data_KHo2CuNi
_chemical_formula_sum 'K1 Ho2 Cu1 Ni1'
_space_group_name_H-M_alt 'P 1'
_space_group_IT_number 1
_cell_length_a 3.6959
_cell_length_b 8.9926
_cell_length_c 8.9926
_cell_angle_alpha 27.22
_cell_angle_beta 90.00
_cell_angle_gamma 90.00
loop_
_space_group_symop_operation_xyz
'x,y,z'
loop_
_atom_site_label
_atom_site_type_symbol
_atom_site_fract_x
_atom_site_fract_y
_atom_site_fract_z
K1 K 0.0000 0.0000 0.0000
Ho1 Ho 0.5000 0.3266 0.3266
Ho2 Ho 0.5000 0.6693 0.6693
Cu1 Cu 0.0000 0.7948 0.7948
Ni1 Ni 0.0000 0.2084 0.2084
```

---

(10)
First-principles (PBE) data for a geometry-optimized KCuGeTe2Se structure, as listed in OQMD via LeMat-Bulk.

final energy: -42.10 eV/cell
space group: No. 63

Cell and atoms, written as CIF:
```
data_KCuGeTe2Se
_chemical_formula_sum 'K2 Cu2 Ge2 Te4 Se2'
_space_group_name_H-M_alt 'P 1'
_space_group_IT_number 1
_cell_length_a 8.0089
_cell_length_b 8.0089
_cell_length_c 11.0332
_cell_angle_alpha 90.00
_cell_angle_beta 90.00
_cell_angle_gamma 152.34
loop_
_space_group_symop_operation_xyz
'x,y,z'
loop_
_atom_site_label
_atom_site_type_symbol
_atom_site_fract_x
_atom_site_fract_y
_atom_site_fract_z
K1 K 0.2275 0.7725 0.7500
K2 K 0.7725 0.2275 0.2500
Cu1 Cu 0.0495 0.9505 0.2500
Cu2 Cu 0.9505 0.0495 0.7500
Ge1 Ge 0.5000 0.5000 0.0000
Ge2 Ge 0.5000 0.5000 0.5000
Te1 Te 0.1326 0.8674 0.0445
Te2 Te 0.1326 0.8674 0.4555
Te3 Te 0.8674 0.1326 0.5445
Te4 Te 0.8674 0.1326 0.9555
Se1 Se 0.4540 0.5460 0.2500
Se2 Se 0.5460 0.4540 0.7500
```

---

(11)
First-principles (PBE) data for a geometry-optimized BaNaHfAu structure, as listed in OQMD via LeMat-Bulk.

spin magnetization: 0.4 μB per cell
energy above the lowest structure with this stoichiometry: 1.01 eV/f.u.
space group: No. 216

Cell and atoms, written as CIF:
```
data_BaNaHfAu
_chemical_formula_sum 'Ba1 Na1 Hf1 Au1'
_space_group_name_H-M_alt 'P 1'
_space_group_IT_number 1
_cell_length_a 5.3655
_cell_length_b 5.3655
_cell_length_c 5.3655
_cell_angle_alpha 60.00
_cell_angle_beta 60.00
_cell_angle_gamma 60.00
loop_
_space_group_symop_operation_xyz
'x,y,z'
loop_
_atom_site_label
_atom_site_type_symbol
_atom_site_fract_x
_atom_site_fract_y
_atom_site_fract_z
Ba1 Ba 0.0000 0.0000 0.0000
Na1 Na 0.5000 0.5000 0.5000
Hf1 Hf 0.7500 0.7500 0.7500
Au1 Au 0.2500 0.2500 0.2500
```

---

(12)
First-principles (PBE) data for a geometry-optimized HfFeCo2 structure, as listed in OQMD via LeMat-Bulk.

spin magnetization: 3.7 μB per cell
E_form: -1.51 kcal/mol of atoms
space group: No. 216

Cell and atoms, written as CIF:
```
data_HfFeCo2
_chemical_formula_sum 'Hf1 Fe1 Co2'
_space_group_name_H-M_alt 'P 1'
_space_group_IT_number 1
_cell_length_a 4.1970
_cell_length_b 4.1970
_cell_length_c 4.1970
_cell_angle_alpha 60.00
_cell_angle_beta 60.00
_cell_angle_gamma 60.00
loop_
_space_group_symop_operation_xyz
'x,y,z'
loop_
_atom_site_label
_atom_site_type_symbol
_atom_site_fract_x
_atom_site_fract_y
_atom_site_fract_z
Hf1 Hf 0.0000 0.0000 0.0000
Fe1 Fe 0.2500 0.2500 0.2500
Co1 Co 0.5000 0.5000 0.5000
Co2 Co 0.7500 0.7500 0.7500
```